No. 1
Entry from Alexandria via LeMat-Bulk: a PBEsol-optimized structure of Rb3HfIn (SCAN).

a = 6.7212 Å, b = 6.7212 Å, c = 6.7212 Å
α = 90.00°, β = 90.00°, γ = 90.00°
With the nearest neighbours (Å) after each atom.
Fractional positions:
Rb (0.0000, 0.0000, 0.5000)  2 In 3.36
Rb (0.0000, 0.5000, 0.0000)  2 In 3.36
Rb (0.5000, 0.0000, 0.0000)  2 In 3.36
Hf (0.5000, 0.5000, 0.5000)  12 Rb 4.75
In (0.0000, 0.0000, 0.0000)  6 Rb 3.36

Calculated values
crystal system = cubic
space group = No. 221

---

No. 2
Entry from Alexandria via LeMat-Bulk: a PBEsol-optimized structure of ZnCd3 (SCAN).

a = 5.0306 Å, b = 5.0306 Å, c = 5.0306 Å
α = 90.00°, β = 90.00°, γ = 90.00°
With the nearest neighbours (Å) after each atom.
Fractional positions:
Zn (0.0000, 0.0000, 0.0000)  6 Cd 2.52
Cd (0.0000, 0.0000, 0.5000)  2 Zn 2.52
Cd (0.0000, 0.5000, 0.0000)  2 Zn 2.52
Cd (0.5000, 0.0000, 0.0000)  2 Zn 2.52

Calculated values
crystal system = cubic
space group = No. 221

---

No. 3
Entry from Alexandria via LeMat-Bulk: a PBEsol-optimized structure of Fe2SiAs (SCAN).

a = 2.7825 Å, b = 2.7825 Å, c = 5.8016 Å
α = 90.00°, β = 90.00°, γ = 90.00°
With the nearest neighbours (Å) after each atom.
Fractional positions:
Fe (0.0000, 0.0000, 0.2351)  4 Si 2.39, 4 As 2.50
Fe (0.0000, 0.0000, 0.7649)  4 Si 2.39, 4 As 2.50
Si (0.5000, 0.5000, 0.0000)  8 Fe 2.39
As (0.5000, 0.5000, 0.5000)  8 Fe 2.50, 4 As 2.78

Calculated values
crystal system = tetragonal
space group = No. 123
formation energy without anion corrections = -4.8 kJ/mol of formula units

---

No. 4
Entry from Alexandria via LeMat-Bulk: a PBEsol-optimized structure of KCaSb2 (SCAN).

a = 5.9377 Å, b = 5.9377 Å, c = 3.3385 Å
α = 90.00°, β = 90.00°, γ = 90.00°
With the nearest neighbours (Å) after each atom.
Fractional positions:
K (0.0000, 0.0000, 0.0000)  2 K 3.34, 8 Sb 3.41
Ca (0.5000, 0.5000, 0.0000)  2 Ca 3.34, 8 Sb 3.41
Sb (0.0000, 0.5000, 0.5000)  2 Sb 3.34, 4 K 3.41, 4 Ca 3.41
Sb (0.5000, 0.0000, 0.5000)  2 Sb 3.34, 4 K 3.41, 4 Ca 3.41

Calculated values
crystal system = tetragonal
space group = No. 123
formation energy without anion corrections = -199.9 kJ/mol of formula units

---

no.,size of the total moment (μB/cell),E_tot (eV per atom),DOS at the Fermi energy (states/eV per atom)
1,2.62,-30.427,1.79
2,0.00,-25.864,0.31
3,0.60,-16.629,0.48
4,0.00,-23.646,0.55